# Tb2Pr2Sm4Ho | the Alexandria database | PBE | optimized geometry
data_Tb2Pr2Sm4Ho
_cell_length_a 18.938
_cell_length_b 3.656
_cell_length_c 9.707
_cell_angle_alpha 90.00
_cell_angle_beta 115.63
_cell_angle_gamma 90.00
_symmetry_space_group_name_H-M 'C 1 2/m 1'
_symmetry_Int_Tables_number 12
_symmetry_space_group_name_Hall '-C 2y'
loop_
_atom_site_label
_atom_site_fract_x
_atom_site_fract_y
_atom_site_fract_z
_atom_site_occupancy
Tb1 0.147 0.000 0.165 1
Pr1 0.165 0.500 0.498 1
Sm1 0.019 0.500 0.833 1
Sm2 0.186 0.000 0.834 1
Ho1 0.000 0.000 0.500 1
# Uncorrected energy = -4.6915 eV/atom
# Formation energy = 0.006 eV per atom

# NaMn2HgCl | the Alexandria database | PBE | optimized geometry
data_NaMn2HgCl
_cell_length_a 5.541
_cell_length_b 5.541
_cell_length_c 5.466
_cell_angle_alpha 90.00
_cell_angle_beta 90.00
_cell_angle_gamma 90.00
_symmetry_space_group_name_H-M 'P 4/m m m'
_symmetry_Int_Tables_number 123
_symmetry_space_group_name_Hall '-P 4 2'
loop_
_atom_site_label
_atom_site_fract_x
_atom_site_fract_y
_atom_site_fract_z
_atom_site_occupancy
Na1 0.000 0.000 0.000 1
Mn1 0.000 0.500 0.000 1
Hg1 0.000 0.000 0.500 1
Cl1 0.500 0.500 0.500 1
# Uncorrected energy = -3.3885 eV/atom
# E_form (uncorrected) = 0.973 eV/atom

# CuIOF2 | the Alexandria database | PBE | optimized geometry
data_CuIOF2
_cell_length_a 4.786
_cell_length_b 4.786
_cell_length_c 4.023
_cell_angle_alpha 90.00
_cell_angle_beta 90.00
_cell_angle_gamma 90.00
_symmetry_space_group_name_H-M 'P 4/m m m'
_symmetry_Int_Tables_number 123
_symmetry_space_group_name_Hall '-P 4 2'
loop_
_atom_site_label
_atom_site_fract_x
_atom_site_fract_y
_atom_site_fract_z
_atom_site_occupancy
Cu1 0.000 0.000 0.000 1
I1 0.500 0.500 0.500 1
O1 0.500 0.500 0.000 1
F1 0.000 0.500 0.500 1
# Uncorrected energy = -3.0052 eV/atom
# E_form (uncorrected) = -0.136 eV/atom
# Energy above the most stable polymorph in this dataset = 0.478 eV per atom

# Mg15Al2Pb2 | the Alexandria database | PBE | optimized geometry
data_Mg15Al2Pb2
_cell_length_a 10.1132
_cell_length_b 10.1132
_cell_length_c 15.6094
_cell_angle_alpha 90.00
_cell_angle_beta 90.00
_cell_angle_gamma 120.00
_symmetry_space_group_name_H-M 'R -3 m'
_symmetry_Int_Tables_number 166
_symmetry_space_group_name_Hall '-R 3 2"'
loop_
_atom_site_label
_atom_site_fract_x
_atom_site_fract_y
_atom_site_fract_z
_atom_site_occupancy
Mg1 0.0000 0.3138 0.0000 1
Mg2 0.0000 0.5000 0.5000 1
Mg3 0.0015 0.5008 0.8399 1
Al1 0.0000 0.0000 0.0873 1
Pb1 0.0000 0.0000 0.3112 1
# Uncorrected energy = -1.9389 eV/atom
# Formation energy = 0.104 eV per atom